No. 1
First-principles (PBE) data for a geometry-optimized Li2CeMgCd4 structure, as listed in Alexandria via LeMat-Bulk.

Cell: 4.7670 4.7670 27.6501 Å, 90.00 90.00 120.00°
Space group R-3m (No. 166, hexagonal axes)
One atom of each set of equivalent atoms:
Li1 0.0000 0.0000 0.2372 [6 per cell]
Ce1 0.0000 0.0000 0.0000 [3 per cell]
Mg1 0.0000 0.0000 0.5000 [3 per cell]
Cd1 0.0000 0.0000 0.1230 [6 per cell]
Cd2 0.0000 0.0000 0.3945 [6 per cell]

As for the mass density: 5.75 g cm⁻³. The energy of formation from the pure elements comes out at -1.17 eV per formula unit. For the energy, the calculation gives -2.0228 eV per atom. The size of the total moment comes out at 0.14 μB/atom.

---

No. 2
First-principles (PBE) data for a geometry-optimized LiCeMgCd structure, as listed in Alexandria via LeMat-Bulk.

Cell: 7.252 7.252 7.252 Å, 90.00 90.00 90.00°
Space group F-43m (No. 216)
One atom of each set of equivalent atoms:
Li1 0.000 0.000 0.000 [4 per cell]
Ce1 0.250 0.250 0.250 [4 per cell]
Mg1 0.250 0.250 0.750 [4 per cell]
Cd1 0.000 0.000 0.500 [4 per cell]

As for the mass density: 4.94 g cm⁻³. The energy of formation from the pure elements comes out at -0.39 eV per formula unit. For the energy, the calculation gives -2.6871 eV per atom. The size of the total moment comes out at 0.22 μB/atom.